A plane-wave DFT calculation with PBE with a Hubbard U was carried out for UNiPbO6 after structural relaxation.

Unit cell a=5.343 b=5.343 c=4.830 alpha=90.00 beta=90.00 gamma=120.00
Fractional positions:
U  0.000  0.000  0.000
Ni  0.333  0.667  0.000
Pb  0.667  0.333  0.500
O  0.008  0.332  0.766
O  0.008  0.676  0.234
O  0.324  0.332  0.234
O  0.324  0.992  0.766
O  0.668  0.676  0.766
O  0.668  0.992  0.234

Calculated values
space-group type: No. 149
electronic total energy: -7.1066 eV/atom